# LaSmYMg

A relaxed LaSmYMg crystal (PBE-GGA, the Alexandria database).

## Properties
The symmetry is No. 99. The density of states at the Fermi level is 5.40 states/eV per cell. The value obtained for the formation energy is -0.034 eV per atom. As for the relative energy among the computed polymorphs: 0.00 eV/f.u. Its volume is 31.6 Å³ per atom.

a b c (Å): 3.765 3.765 8.927
angles (deg): 90.00 90.00 90.00
Atoms (fractional coordinates):
La: 0.000 0.000 0.074
Sm: 0.500 0.500 0.791
Y: 0.500 0.500 0.354
Mg: 0.000 0.000 0.567